(1)
A plane-wave DFT calculation with PBE was carried out for a relaxed ScInAu2 crystal.

Lattice parameters (Å, degrees): 6.436 6.472 7.626 90.00 90.00 90.00
Atoms (fractional coordinates):
Au  0.000  0.500  0.250
Au  0.000  0.000  0.250
Au  0.500  0.500  0.250
Au  0.500  0.000  0.250
Au  0.500  0.500  0.750
Au  0.500  0.000  0.750
Au  0.000  0.500  0.750
Au  0.000  0.000  0.750
In  0.250  0.250  0.000
In  0.750  0.750  0.000
In  0.250  0.250  0.500
In  0.750  0.750  0.500
Sc  0.750  0.250  0.000
Sc  0.250  0.750  0.000
Sc  0.250  0.750  0.500
Sc  0.750  0.250  0.500

Results
Uncorrected energy ... -4.4267 eV per atom
Total magnetic moment ... 0.0 Bohr magnetons per cell
SG ... Cmmm, No. 65

---

(2)
A plane-wave DFT calculation with PBE was carried out for a relaxed LiScRe2 crystal.

Lattice parameters (Å, degrees): 4.410 4.410 4.410 60.00 60.00 60.00
Atoms (fractional coordinates):
Li  0.500  0.500  0.500
Re  0.000  0.000  0.000
Re  0.750  0.750  0.750
Sc  0.250  0.250  0.250

Results
Uncorrected energy ... -8.2830 eV per atom
Total magnetic moment ... 0.0 Bohr magnetons per cell
SG ... F-43m, No. 216

---

(3)
A plane-wave DFT calculation with PBE was carried out for a relaxed HfGeB4 crystal.

Lattice parameters (Å, degrees): 4.824 4.824 4.824 142.91 113.05 79.10
Atoms (fractional coordinates):
B  0.582  0.249  0.333
B  0.084  0.751  0.333
B  0.916  0.249  0.667
B  0.418  0.751  0.667
Ge  0.000  0.000  0.000
Hf  0.500  0.500  0.000

Results
Offset from the most stable computed form ... 99 meV per atom
Uncorrected energy ... -6.9887 eV per atom
Total magnetic moment ... 0.0 Bohr magnetons per cell
SG ... Immm, No. 71

---

(4)
A plane-wave DFT calculation with PBE was carried out for a relaxed USiB crystal.

Lattice parameters (Å, degrees): 4.052 4.052 4.052 60.00 60.00 60.00
Atoms (fractional coordinates):
B  0.000  0.000  0.000
Si  0.250  0.250  0.250
U  0.750  0.750  0.750

Results
Offset from the most stable computed form ... 0 meV per atom
Uncorrected energy ... -7.6105 eV per atom
Total magnetic moment ... 1.9 Bohr magnetons per cell
SG ... F-43m, No. 216